Entry 1:
Ag2HgTe: optimized geometry, PBE.

```
data_Ag2HgTe
_chemical_formula_sum 'Ag4 Hg2 Te2'
_cell_length_a 4.3388
_cell_length_b 4.3388
_cell_length_c 9.5486
_cell_angle_alpha 90.00
_cell_angle_beta 90.00
_cell_angle_gamma 90.00
_symmetry_space_group_name_H-M 'I -4 m 2'
_symmetry_Int_Tables_number 119
_symmetry_space_group_name_Hall 'I -4 -2'
loop_
_atom_site_label
_atom_site_fract_x
_atom_site_fract_y
_atom_site_fract_z
Ag1 0.0000 0.0000 0.0000
Ag2 0.0000 0.5000 0.2500
Hg1 0.0000 0.5000 0.7500
Te1 0.0000 0.0000 0.5000
```

Values from the calculation:
Raw formation energy = 0.113 eV per atom
E_tot = -17.39 eV for the cell shown



Entry 2:
AgHgTe3: optimized geometry, PBE.

```
data_AgHgTe3
_chemical_formula_sum 'Ag1 Hg1 Te3'
_cell_length_a 5.6390
_cell_length_b 5.6390
_cell_length_c 5.6390
_cell_angle_alpha 90.00
_cell_angle_beta 90.00
_cell_angle_gamma 90.00
_symmetry_space_group_name_H-M 'P m -3 m'
_symmetry_Int_Tables_number 221
_symmetry_space_group_name_Hall '-P 4 2 3'
loop_
_atom_site_label
_atom_site_fract_x
_atom_site_fract_y
_atom_site_fract_z
Ag1 0.0000 0.0000 0.0000
Hg1 0.5000 0.5000 0.5000
Te1 0.0000 0.5000 0.5000
```

Values from the calculation:
Raw formation energy = 0.734 eV per atom
E_tot = -8.91 eV for the cell shown



Entry 3:
AgHg2Te: optimized geometry, PBE.

```
data_AgHg2Te
_chemical_formula_sum 'Ag2 Hg4 Te2'
_cell_length_a 4.0952
_cell_length_b 4.0952
_cell_length_c 13.3715
_cell_angle_alpha 90.00
_cell_angle_beta 90.00
_cell_angle_gamma 90.00
_symmetry_space_group_name_H-M 'I 4/m m m'
_symmetry_Int_Tables_number 139
_symmetry_space_group_name_Hall '-I 4 2'
loop_
_atom_site_label
_atom_site_fract_x
_atom_site_fract_y
_atom_site_fract_z
Ag1 0.0000 0.0000 0.0000
Hg1 0.0000 0.5000 0.2500
Te1 0.0000 0.0000 0.5000
```

Values from the calculation:
Raw formation energy = 0.088 eV per atom
E_tot = -12.49 eV for the cell shown



Entry 4:
Ag3Hg2Te2: optimized geometry, PBE.

```
data_Ag3Hg2Te2
_chemical_formula_sum 'Ag6 Hg4 Te4'
_cell_length_a 5.4193
_cell_length_b 9.8085
_cell_length_c 8.3586
_cell_angle_alpha 90.00
_cell_angle_beta 114.42
_cell_angle_gamma 90.00
_symmetry_space_group_name_H-M 'P 1 21/c 1'
_symmetry_Int_Tables_number 14
loop_
_symmetry_equiv_pos_as_xyz
'x,y,z'
'-x,-y,-z'
'-x,y+1/2,-z+1/2'
'x,-y+1/2,z+1/2'
loop_
_atom_site_label
_atom_site_fract_x
_atom_site_fract_y
_atom_site_fract_z
Ag1 0.0000 0.0000 0.0000
Ag2 0.4377 0.0898 0.7521
Hg1 0.1549 0.5238 0.8857
Te1 0.4383 0.1692 0.0830
```

Values from the calculation:
Raw formation energy = 0.018 eV per atom
E_tot = -30.63 eV for the cell shown



Entry 5:
Ag2HgTe: optimized geometry, PBE.

```
data_Ag2HgTe
_chemical_formula_sum 'Ag6 Hg3 Te3'
_cell_length_a 3.1878
_cell_length_b 3.1878
_cell_length_c 31.6210
_cell_angle_alpha 90.00
_cell_angle_beta 90.00
_cell_angle_gamma 120.00
_symmetry_space_group_name_H-M 'R 3 m'
_symmetry_Int_Tables_number 160
_symmetry_space_group_name_Hall 'R 3 -2"'
loop_
_atom_site_label
_atom_site_fract_x
_atom_site_fract_y
_atom_site_fract_z
Ag1 0.0000 0.0000 0.0000
Ag2 0.0000 0.0000 0.2626
Hg1 0.0000 0.0000 0.5201
Te1 0.0000 0.0000 0.7455
```

Values from the calculation:
Raw formation energy = 0.138 eV per atom
E_tot = -25.78 eV for the cell shown



Entry 6:
AgHgTe: optimized geometry, PBE.

```
data_AgHgTe
_chemical_formula_sum 'Ag2 Hg2 Te2'
_cell_length_a 4.5179
_cell_length_b 6.4448
_cell_length_c 6.7862
_cell_angle_alpha 63.26
_cell_angle_beta 78.31
_cell_angle_gamma 71.94
_symmetry_space_group_name_H-M 'P -1'
_symmetry_Int_Tables_number 2
loop_
_symmetry_equiv_pos_as_xyz
'x,y,z'
'-x,-y,-z'
loop_
_atom_site_label
_atom_site_fract_x
_atom_site_fract_y
_atom_site_fract_z
Ag1 0.0000 0.0000 0.0000
Ag2 0.5000 0.5000 0.5000
Hg1 0.1594 0.1792 0.4950
Te1 0.4244 0.3108 0.9572
```

Values from the calculation:
Raw formation energy = -0.025 eV per atom
E_tot = -12.74 eV for the cell shown



Entry 7:
AgHg2Te2: optimized geometry, PBE.

```
data_AgHg2Te2
_chemical_formula_sum 'Ag2 Hg4 Te4'
_cell_length_a 7.9672
_cell_length_b 7.9672
_cell_length_c 4.1852
_cell_angle_alpha 90.00
_cell_angle_beta 90.00
_cell_angle_gamma 90.00
_symmetry_space_group_name_H-M 'P 4/m b m'
_symmetry_Int_Tables_number 127
_symmetry_space_group_name_Hall '-P 4 2ab'
loop_
_atom_site_label
_atom_site_fract_x
_atom_site_fract_y
_atom_site_fract_z
Ag1 0.0000 0.0000 0.0000
Hg1 0.1350 0.3650 0.0000
Te1 0.1785 0.6785 0.5000
```

Values from the calculation:
Raw formation energy = 0.217 eV per atom
E_tot = -17.30 eV for the cell shown



Entry 8:
AgHg4Te: optimized geometry, PBE.

```
data_AgHg4Te
_chemical_formula_sum 'Ag4 Hg16 Te4'
_cell_length_a 8.5616
_cell_length_b 8.5616
_cell_length_c 8.5616
_cell_angle_alpha 90.00
_cell_angle_beta 90.00
_cell_angle_gamma 90.00
_symmetry_space_group_name_H-M 'F -4 3 m'
_symmetry_Int_Tables_number 216
_symmetry_space_group_name_Hall 'F -4 2 3'
loop_
_atom_site_label
_atom_site_fract_x
_atom_site_fract_y
_atom_site_fract_z
Ag1 0.0000 0.0000 0.0000
Hg1 0.1250 0.1250 0.6250
Te1 0.2500 0.2500 0.2500
```

Values from the calculation:
Raw formation energy = 0.302 eV per atom
E_tot = -21.56 eV for the cell shown



Entry 9:
Ag2HgTe2: optimized geometry, PBE.

```
data_Ag2HgTe2
_chemical_formula_sum 'Ag4 Hg2 Te4'
_cell_length_a 4.1493
_cell_length_b 4.1493
_cell_length_c 15.7515
_cell_angle_alpha 90.00
_cell_angle_beta 90.00
_cell_angle_gamma 90.00
_symmetry_space_group_name_H-M 'I 4/m m m'
_symmetry_Int_Tables_number 139
_symmetry_space_group_name_Hall '-I 4 2'
loop_
_atom_site_label
_atom_site_fract_x
_atom_site_fract_y
_atom_site_fract_z
Ag1 0.0000 0.5000 0.2500
Hg1 0.0000 0.0000 0.0000
Te1 0.0000 0.0000 0.3754
```

Values from the calculation:
Raw formation energy = 0.040 eV per atom
E_tot = -24.18 eV for the cell shown



Entry 10:
AgHg2Te: optimized geometry, PBE.

```
data_AgHg2Te
_chemical_formula_sum 'Ag4 Hg8 Te4'
_cell_length_a 8.3808
_cell_length_b 8.3808
_cell_length_c 5.9522
_cell_angle_alpha 90.00
_cell_angle_beta 90.00
_cell_angle_gamma 90.00
_symmetry_space_group_name_H-M 'I -4 2 d'
_symmetry_Int_Tables_number 122
_symmetry_space_group_name_Hall 'I -4 2bw'
loop_
_atom_site_label
_atom_site_fract_x
_atom_site_fract_y
_atom_site_fract_z
Ag1 0.0000 0.0000 0.0000
Hg1 0.2353 0.2500 0.1250
Te1 0.0000 0.0000 0.5000
```

Values from the calculation:
Raw formation energy = 0.125 eV per atom
E_tot = -24.39 eV for the cell shown



Entry 11:
Ag2HgTe2: optimized geometry, PBE.

```
data_Ag2HgTe2
_chemical_formula_sum 'Ag4 Hg2 Te4'
_cell_length_a 8.9922
_cell_length_b 8.9922
_cell_length_c 3.1692
_cell_angle_alpha 90.00
_cell_angle_beta 90.00
_cell_angle_gamma 90.00
_symmetry_space_group_name_H-M 'P 4/m b m'
_symmetry_Int_Tables_number 127
_symmetry_space_group_name_Hall '-P 4 2ab'
loop_
_atom_site_label
_atom_site_fract_x
_atom_site_fract_y
_atom_site_fract_z
Ag1 0.1496 0.3504 0.0000
Hg1 0.0000 0.0000 0.0000
Te1 0.1498 0.6498 0.5000
```

Values from the calculation:
Raw formation energy = 0.089 eV per atom
E_tot = -23.68 eV for the cell shown



Entry 12:
AgHg2Te: optimized geometry, PBE.

```
data_AgHg2Te
_chemical_formula_sum 'Ag2 Hg4 Te2'
_cell_length_a 4.8687
_cell_length_b 4.8687
_cell_length_c 8.3575
_cell_angle_alpha 90.00
_cell_angle_beta 90.00
_cell_angle_gamma 90.00
_symmetry_space_group_name_H-M 'I -4 m 2'
_symmetry_Int_Tables_number 119
_symmetry_space_group_name_Hall 'I -4 -2'
loop_
_atom_site_label
_atom_site_fract_x
_atom_site_fract_y
_atom_site_fract_z
Ag1 0.0000 0.0000 0.0000
Hg1 0.0000 0.0000 0.5000
Hg2 0.0000 0.5000 0.7500
Te1 0.0000 0.5000 0.2500
```

Values from the calculation:
Raw formation energy = 0.147 eV per atom
E_tot = -12.01 eV for the cell shown